Entry 1:
The following is a DFT calculation (PBE) of LiAs3 after structural relaxation.

Formation energy from the elements   -0.11 eV/f.u.
Electronic total energy   -15.97 eV per cell
Distance to the lowest polymorph of the same formula   0.074 eV/atom
Calculated volume   74 Å³/cell
N(E_F)   1.55 states/eV/f.u.
ρ   5.2 g cm⁻³

Cell lengths 4.6683, 4.6683, 3.5282 Å; angles 90.00, 90.00, 106.55 degrees
Element x y z (fractional)
As 0.0000 0.5000 0.5000
As 0.5000 0.0000 0.5000
As 0.5000 0.5000 0.0000
Li 0.0000 0.0000 0.0000



Entry 2:
The following is a DFT calculation (PBE) of LiAs after structural relaxation.

Formation energy from the elements   -0.46 eV/f.u.
Electronic total energy   -42.14 eV per cell
Calculated volume   370 Å³/cell
N(E_F)   0.15 states/eV/f.u.
ρ   2.2 g cm⁻³

Cell lengths 9.9052, 9.9052, 4.3512 Å; angles 90.00, 90.00, 120.00 degrees
Element x y z (fractional)
Li 0.7401 0.1704 0.2500
Li 0.5697 0.7401 0.7500
Li 0.8296 0.5697 0.2500
Li 0.2599 0.8296 0.7500
Li 0.4303 0.2599 0.2500
Li 0.1704 0.4303 0.7500
As 0.9946 0.4346 0.2500
As 0.5601 0.9946 0.7500
As 0.5654 0.5601 0.2500
As 0.0054 0.5654 0.7500
As 0.4399 0.0054 0.2500
As 0.4346 0.4399 0.7500



Entry 3:
The following is a DFT calculation (PBE) of LiAs3 after structural relaxation.

Formation energy from the elements   0.25 eV/f.u.
Electronic total energy   -15.61 eV per cell
Distance to the lowest polymorph of the same formula   0.164 eV/atom
Calculated volume   71 Å³/cell
N(E_F)   0.76 states/eV/f.u.
ρ   5.4 g cm⁻³

Cell lengths 2.8253, 2.8253, 8.9288 Å; angles 90.00, 90.00, 97.69 degrees
Element x y z (fractional)
As 0.0000 0.0000 0.0303
As 0.5000 0.5000 0.7500
As 0.0000 0.0000 0.4697
Li 0.5000 0.5000 0.2500



Entry 4:
The following is a DFT calculation (PBE) of LiAs after structural relaxation.

Formation energy from the elements   0.24 eV/f.u.
Electronic total energy   -50.61 eV per cell
Calculated volume   495 Å³/cell
N(E_F)   1.99 states/eV/f.u.
ρ   2.2 g cm⁻³

Cell lengths 7.9084, 7.9084, 7.9084 Å; angles 90.00, 90.00, 90.00 degrees
Element x y z (fractional)
Li 0.1940 0.1940 0.1940
Li 0.1940 0.8060 0.8060
Li 0.8060 0.1940 0.8060
Li 0.8060 0.8060 0.1940
Li 0.6940 0.6940 0.6940
Li 0.6940 0.3060 0.3060
Li 0.3060 0.6940 0.3060
Li 0.3060 0.3060 0.6940
As 0.3779 0.3779 0.3779
As 0.3779 0.6221 0.6221
As 0.6221 0.3779 0.6221
As 0.6221 0.6221 0.3779
As 0.8779 0.8779 0.8779
As 0.8779 0.1221 0.1221
As 0.1221 0.8779 0.1221
As 0.1221 0.1221 0.8779



Q: Which formula does entry 4 have?
A: LiAs